Below is a geometry-optimized ZrTcCl3 structure, with properties calculated at the PBE-GGA level.

Summary:
Its crystal system is cubic. As for the energy relative to the elements, uncorrected: 6 kJ/mol of formula units. The density of states at the Fermi level is 7.36 states/eV/cell. The offset from the most stable computed form is 0 meV per atom.

Cell lengths 5.102, 5.102, 5.102 Å; angles 90.00, 90.00, 90.00 degrees
Positions (direct):
1 Zr 0.000 0.000 0.000
2 Tc 0.500 0.500 0.500
3 Cl 0.000 0.000 0.500
4 Cl 0.000 0.500 0.000
5 Cl 0.500 0.000 0.000